Compound: BaHg8Pb2
Source: the Alexandria database
Functional: GGA-PBE
Structure: optimized geometry

Values from the calculation:
* N(E_F): 4.5 states/eV per cell
* ΔE to the lowest computed polymorph: 0.000 eV/atom
* space group: C2/m, No. 12
* DFT formation energy: -0.137 eV per atom

a = 7.0144 Å, b = 7.0144 Å, c = 8.9032 Å
α = 105.33°, β = 105.33°, γ = 49.86°
Fractional coordinates of all 11 atoms:
Ba 0.0000 0.0000 0.0000
Hg 0.1560 0.6640 0.3286
Hg 0.2858 0.2858 0.9981
Hg 0.3360 0.8440 0.6714
Hg 0.3907 0.3907 0.7377
Hg 0.6093 0.6093 0.2623
Hg 0.6640 0.1560 0.3286
Hg 0.7142 0.7142 0.0019
Hg 0.8440 0.3360 0.6714
Pb 0.2004 0.2004 0.4026
Pb 0.7996 0.7996 0.5974

***

Compound: Cu4HgBi
Source: the Alexandria database
Functional: GGA-PBE
Structure: optimized geometry

Values from the calculation:
* N(E_F): 3.0 states/eV per cell
* space group: F-43m, No. 216
* DFT formation energy: 0.158 eV per atom

a = 5.1793 Å, b = 5.1793 Å, c = 5.1793 Å
α = 60.00°, β = 60.00°, γ = 60.00°
Fractional coordinates of all 6 atoms:
Cu 0.3758 0.3758 0.3758
Cu 0.3758 0.3758 0.8726
Cu 0.3758 0.8726 0.3758
Cu 0.8726 0.3758 0.3758
Hg 0.7500 0.7500 0.7500
Bi 0.0000 0.0000 0.0000

***

Compound: CaScSi2As
Source: the Alexandria database
Functional: GGA-PBE
Structure: optimized geometry

Values from the calculation:
* N(E_F): 2.7 states/eV per cell
* E_form (uncorrected): 0.216 eV per atom
* space group: P4/mmm, No. 123

a = 5.0289 Å, b = 5.0289 Å, c = 4.9252 Å
α = 90.00°, β = 90.00°, γ = 90.00°
Fractional coordinates of all 5 atoms:
Ca 0.0000 0.0000 0.0000
Sc 0.5000 0.5000 0.0000
Si 0.0000 0.5000 0.5000
Si 0.5000 0.0000 0.5000
As 0.5000 0.5000 0.5000

***

Compound: Ti4InCo2
Source: the Alexandria database
Functional: GGA-PBE
Structure: optimized geometry

Values from the calculation:
* N(E_F): 8.2 states/eV per cell
* space group: R-3m, No. 166
* DFT formation energy: -0.025 eV per atom

a = 9.9903 Å, b = 9.9903 Å, c = 9.9903 Å
α = 21.97°, β = 21.97°, γ = 21.97°
Fractional coordinates of all 7 atoms:
Ti 0.0985 0.0985 0.0985
Ti 0.3021 0.3021 0.3021
Ti 0.6979 0.6979 0.6979
Ti 0.9015 0.9015 0.9015
In 0.5000 0.5000 0.5000
Co 0.3984 0.3984 0.3984
Co 0.6016 0.6016 0.6016

***

Compound: NaSr2AlAu
Source: the Alexandria database
Functional: GGA-PBE
Structure: optimized geometry

Values from the calculation:
* N(E_F): 4.2 states/eV per cell
* space group: P4/mmm, No. 123
* DFT formation energy: -0.254 eV per atom

a = 6.1549 Å, b = 6.1549 Å, c = 4.9105 Å
α = 90.00°, β = 90.00°, γ = 90.00°
Fractional coordinates of all 5 atoms:
Na 0.0000 0.0000 0.0000
Sr 0.0000 0.5000 0.5000
Sr 0.5000 0.0000 0.5000
Al 0.5000 0.5000 0.0000
Au 0.5000 0.5000 0.5000

***

Compound: I2Cl3O
Source: the Alexandria database
Functional: GGA-PBE
Structure: optimized geometry

Values from the calculation:
* N(E_F): 11.7 states/eV per cell
* E_form (uncorrected): -0.105 eV per atom
* space group: P2_1/c, No. 14

a = 7.7428 Å, b = 14.6256 Å, c = 6.9681 Å
α = 90.00°, β = 90.88°, γ = 90.00°
Fractional coordinates of all 24 atoms:
I 0.0561 0.2384 0.3389
I 0.0561 0.2616 0.8389
I 0.3794 0.6265 0.1998
I 0.3794 0.8735 0.6998
I 0.6206 0.1265 0.3002
I 0.6206 0.3735 0.8002
I 0.9439 0.7384 0.1611
I 0.9439 0.7616 0.6611
Cl 0.1522 0.5178 0.2562
Cl 0.1522 0.9822 0.7562
Cl 0.3824 0.0149 0.2518
Cl 0.3824 0.4851 0.7518
Cl 0.3968 0.2320 0.8519
Cl 0.3968 0.2680 0.3519
Cl 0.6032 0.7320 0.6481
Cl 0.6032 0.7680 0.1481
Cl 0.6176 0.5149 0.2482
Cl 0.6176 0.9851 0.7482
Cl 0.8478 0.0178 0.2438
Cl 0.8478 0.4822 0.7438
O 0.2001 0.7353 0.1641
O 0.2001 0.7647 0.6641
O 0.7999 0.2353 0.3359
O 0.7999 0.2647 0.8359

***

Compound: KCoSi2Te
Source: the Alexandria database
Functional: GGA-PBE
Structure: optimized geometry

Values from the calculation:
* N(E_F): 4.9 states/eV per cell
* E_form (uncorrected): 1.453 eV per atom
* space group: P4/mmm, No. 123

a = 5.2611 Å, b = 5.2611 Å, c = 6.1769 Å
α = 90.00°, β = 90.00°, γ = 90.00°
Fractional coordinates of all 5 atoms:
K 0.0000 0.0000 0.0000
Co 0.5000 0.5000 0.0000
Si 0.0000 0.5000 0.5000
Si 0.5000 0.0000 0.5000
Te 0.0000 0.0000 0.5000

***

Compound: NaPrGe4
Source: the Alexandria database
Functional: GGA-PBE
Structure: optimized geometry

Values from the calculation:
* space group: F-43m, No. 216
* DFT formation energy: -0.299 eV per atom

a = 5.6883 Å, b = 5.6883 Å, c = 5.6883 Å
α = 60.00°, β = 60.00°, γ = 60.00°
Fractional coordinates of all 6 atoms:
Na 0.0000 0.0000 0.0000
Pr 0.7500 0.7500 0.7500
Ge 0.3751 0.3751 0.3751
Ge 0.3751 0.3751 0.8746
Ge 0.3751 0.8746 0.3751
Ge 0.8746 0.3751 0.3751

***

Summary of final energy in eV/atom
-1.21, -3.27, -4.55, -6.96, -2.59, -2.37, -2.99, -4.39
(order as listed above)